# 1
Computed, not measured: crystalline In12As3S5 at its relaxed geometry at the PBE-GGA level of DFT.

abc: 16.8418 16.8418 16.8418
angles: 90.00 90.00 90.00
Last column: nearest neighbours and their distance in Å.
Space group Ia-3d (No. 230)
Inequivalent atoms, fractional coordinates:
In 0.0158 0.0700 0.6550  2 S 2.71-2.88
As 0.0000 0.2500 0.1250  8 In 3.09
S 0.0000 0.0000 0.0000  6 In 2.88
S 0.0000 0.2500 0.3750  4 In 2.71

Properties
raw formation energy: -141 kJ/mol of formula units
E: -3.45 eV/atom

***

# 2
Computed, not measured: crystalline RbSbN2F at its relaxed geometry at the PBE-GGA level of DFT.

abc: 4.0753 4.0753 4.8383
angles: 90.00 90.00 90.00
Last column: nearest neighbours and their distance in Å.
Space group P4/mmm (No. 123)
Inequivalent atoms, fractional coordinates:
Rb 0.0000 0.0000 0.0000  4 F 2.88, 8 N 3.16
Sb 0.5000 0.5000 0.5000  4 N 2.04
N 0.0000 0.5000 0.5000  2 Sb 2.04
F 0.5000 0.5000 0.0000  2 Sb 2.42

Properties
raw formation energy: -32 kJ/mol of formula units
excess energy over the best structure of this formula in the dataset: 0 meV per atom
E: -4.79 eV/atom

***

# 3
Computed, not measured: crystalline CdSbAs2 at its relaxed geometry at the PBE-GGA level of DFT.

abc: 7.7770 3.0854 7.7609
angles: 90.00 96.16 90.00
Last column: nearest neighbours and their distance in Å.
Space group C2/m (No. 12)
Inequivalent atoms, fractional coordinates:
Cd 0.0000 0.0000 0.0000  6 As 2.86-2.95, 2 Cd 3.09
Sb 0.0000 0.5000 0.5000  6 As 2.93-3.09, 2 Sb 3.09
As 0.2451 0.5000 0.2393  3 Cd 2.86-2.95, 3 Sb 2.93-3.09, 2 As 3.09

Properties
raw formation energy: 57 kJ/mol of formula units
excess energy over the best structure of this formula in the dataset: 102 meV per atom
E: -3.44 eV/atom

***

# 4
Computed, not measured: crystalline LiIn3 at its relaxed geometry at the PBE-GGA level of DFT.

abc: 8.6354 8.1888 5.7268
angles: 90.00 90.00 90.00
Last column: nearest neighbours and their distance in Å.
Space group Cmcm (No. 63)
Inequivalent atoms, fractional coordinates:
Li 0.0000 0.0910 0.2500  3 In 2.82-3.00
In 0.0000 0.4355 0.2500  1 Li 2.82, 4 In 3.05-3.08
In 0.1774 0.2246 0.7500  2 Li 3.00-3.17, 5 In 3.06-3.18

Properties
calculated formation energy: -0.0436 eV/atom
E: -2.58 eV/atom

***

# 5
Computed, not measured: crystalline LiThInCu at its relaxed geometry at the PBE-GGA level of DFT.

abc: 6.8828 6.8828 6.8828
angles: 90.00 90.00 90.00
Last column: nearest neighbours and their distance in Å.
Space group F-43m (No. 216)
Inequivalent atoms, fractional coordinates:
Li 0.0000 0.0000 0.0000  4 In 2.98, 4 Th 2.98
Th 0.2500 0.2500 0.2500  4 Li 2.98, 4 Cu 2.98
In 0.2500 0.2500 0.7500  4 Li 2.98, 4 Cu 2.98
Cu 0.0000 0.0000 0.5000  4 Th 2.98, 4 In 2.98

Properties
calculated formation energy: -0.1973 eV/atom
E: -4.24 eV/atom

***

# 6
Computed, not measured: crystalline BeCuRh2 at its relaxed geometry at the PBE-GGA level of DFT.

abc: 2.8035 4.1476 8.3487
angles: 90.00 90.00 90.00
Last column: nearest neighbours and their distance in Å.
Space group Imm2 (No. 44)
Inequivalent atoms, fractional coordinates:
Be 0.0000 0.0000 0.0000  2 Cu 2.30, 6 Rh 2.35-2.50
Cu 0.0000 0.5000 0.7186  2 Be 2.30, 4 Rh 2.55
Rh 0.0000 0.0000 0.4987  4 Be 2.50, 6 Rh 2.69-2.80, 4 Cu 2.73-2.77
Rh 0.0000 0.5000 0.2737  2 Be 2.35, 4 Cu 2.55

Properties
calculated formation energy: -0.1471 eV/atom
E: -5.78 eV/atom

***

# 7
Computed, not measured: crystalline CdHg at its relaxed geometry at the PBE-GGA level of DFT.

abc: 3.4450 3.4450 14.1028
angles: 90.00 90.00 120.00
Last column: nearest neighbours and their distance in Å.
Space group R-3m (No. 166, hexagonal axes)
Inequivalent atoms, fractional coordinates:
Cd 0.0000 0.0000 0.0000  6 Hg 3.08, 6 Cd 3.44
Hg 0.0000 0.0000 0.5000  6 Cd 3.08, 6 Hg 3.44

Properties
calculated formation energy: 0.0162 eV/atom
E: -0.59 eV/atom

***

# 8
Computed, not measured: crystalline Be2PRh at its relaxed geometry at the PBE-GGA level of DFT.

abc: 2.9838 2.9838 4.7803
angles: 90.00 90.00 90.00
Last column: nearest neighbours and their distance in Å.
Space group P4/mmm (No. 123)
Inequivalent atoms, fractional coordinates:
Be 0.0000 0.0000 0.2389  2 Be 2.28-2.50, 4 P 2.40, 4 Rh 2.45
P 0.5000 0.5000 0.0000  2 Rh 2.39, 8 Be 2.40
Rh 0.5000 0.5000 0.5000  2 P 2.39, 8 Be 2.45

Properties
calculated formation energy: -0.3599 eV/atom
E: -5.41 eV/atom

***

# 9
Computed, not measured: crystalline CuTcAg at its relaxed geometry at the PBE-GGA level of DFT.

abc: 3.7398 3.7649 12.6070
angles: 90.00 90.00 90.00
Last column: nearest neighbours and their distance in Å.
Space group Fmm2 (No. 42)
Inequivalent atoms, fractional coordinates:
Cu 0.0000 0.0000 0.0000  4 Cu 2.65, 4 Tc 2.68-2.69, 4 Ag 2.80-2.81
Tc 0.0000 0.0000 0.6527  4 Tc 2.65, 4 Cu 2.68-2.69, 4 Ag 2.95-2.96
Ag 0.0000 0.0000 0.3342  4 Ag 2.65, 4 Cu 2.80-2.81, 4 Tc 2.95-2.96

Properties
calculated formation energy: 0.3812 eV/atom
excess energy over the best structure of this formula in the dataset: 44 meV per atom
E: -5.39 eV/atom

***

# 10
Computed, not measured: crystalline KNa2ErCl6 at its relaxed geometry at the PBE-GGA level of DFT.

abc: 7.1836 7.1836 19.5502
angles: 90.00 90.00 120.00
Last column: nearest neighbours and their distance in Å.
Space group R3 (No. 146, hexagonal axes)
Inequivalent atoms, fractional coordinates:
K 0.0000 0.0000 0.0000  6 Cl 3.06-3.26
Na 0.0000 0.0000 0.2871  6 Cl 2.85-2.96
Na 0.0000 0.0000 0.8002  6 Cl 2.77-2.94
Er 0.0000 0.0000 0.4842  6 Cl 2.63-2.64
Cl 0.0129 0.3205 0.5537  1 Er 2.63, 2 Na 2.85-2.94
Cl 0.0336 0.6291 0.0642  1 Er 2.64, 1 Na 2.77

Properties
raw formation energy: -1974 kJ/mol of formula units
E: -3.98 eV/atom

***

# 11
Computed, not measured: crystalline CoSi2Rh at its relaxed geometry at the PBE-GGA level of DFT.

abc: 3.6614 3.6614 13.6647
angles: 90.00 90.00 120.00
Last column: nearest neighbours and their distance in Å.
Space group R3m (No. 160, hexagonal axes)
Inequivalent atoms, fractional coordinates:
Co 0.0000 0.0000 0.0000  6 Si 2.25-2.42
Si 0.0000 0.0000 0.3893  3 Co 2.25, 3 Rh 2.42
Si 0.0000 0.0000 0.5798  3 Co 2.42, 3 Rh 2.56, 1 Si 2.60
Rh 0.0000 0.0000 0.8081  6 Si 2.42-2.56, 1 Co 2.62

Properties
raw formation energy: -192 kJ/mol of formula units
excess energy over the best structure of this formula in the dataset: 89 meV per atom
E: -6.82 eV/atom

***

# 12
Computed, not measured: crystalline SmDyEr at its relaxed geometry at the PBE-GGA level of DFT.

abc: 17.2925 3.5857 6.2104
angles: 90.00 96.86 90.00
Last column: nearest neighbours and their distance in Å.
Space group C2/m (No. 12)
Inequivalent atoms, fractional coordinates:
Sm 0.2494 0.0000 0.2504  3 Er 3.55-3.56, 3 Dy 3.55-3.56, 6 Sm 3.58-3.59
Dy 0.0817 0.0000 0.8604  6 Er 3.49-3.59, 3 Dy 3.49-3.59, 3 Sm 3.55-3.56
Er 0.0817 0.5000 0.3612  3 Er 3.48-3.59, 6 Dy 3.49-3.59, 3 Sm 3.55-3.56

Properties
calculated formation energy: -0.0055 eV/atom
excess energy over the best structure of this formula in the dataset: 0 meV per atom
E: -4.63 eV/atom